[1]
The following is a PBE calculation of a relaxed Ce2PrTlC crystal, from Alexandria.

Cell lengths 4.9620, 4.9620, 5.2477 Å; angles 90.00, 90.00, 90.00 degrees
Last column: nearest neighbours and their distance in Å.
Space group P4/mmm (No. 123)
One atom of each set of equivalent atoms:
Ce1 0.0000 0.5000 0.0000 x2  2 C 2.48
Pr1 0.0000 0.0000 0.5000 x1  2 C 2.62
Tl1 0.5000 0.5000 0.5000 x1  4 Pr 3.51, 8 Ce 3.61
C1 0.0000 0.0000 0.0000 x1  4 Ce 2.48, 2 Pr 2.62

## Properties
Magnetization, μB per formula unit: 1.10
Formation energy, eV/atom: -0.261
Energy, eV for the cell shown: -29.54

---

[2]
The following is a PBE calculation of a relaxed Ce2PrZnC crystal, from Alexandria.

Cell lengths 4.8840, 4.8840, 5.1927 Å; angles 90.00, 90.00, 90.00 degrees
Last column: nearest neighbours and their distance in Å.
Space group P4/mmm (No. 123)
One atom of each set of equivalent atoms:
Ce1 0.0000 0.5000 0.0000 x2  2 C 2.44
Pr1 0.0000 0.0000 0.5000 x1  2 C 2.60
Zn1 0.5000 0.5000 0.5000 x1  4 Pr 3.45, 8 Ce 3.56
C1 0.0000 0.0000 0.0000 x1  4 Ce 2.44, 2 Pr 2.60

## Properties
Magnetization, μB per formula unit: 0.70
Formation energy, eV/atom: -0.083
Energy, eV for the cell shown: -27.56

---

[3]
The following is a PBE calculation of a relaxed Ce2PtC crystal, from Alexandria.

Cell lengths 5.8532, 5.6059, 11.4552 Å; angles 90.00, 114.68, 90.00 degrees
Last column: nearest neighbours and their distance in Å.
Space group P2/c (No. 13)
One atom of each set of equivalent atoms:
Ce1 0.0414 0.2384 0.0929 x4  2 C 2.36-2.47
Ce2 0.3338 0.2919 0.8467 x4  2 C 2.40-2.41
Pt1 0.4220 0.2086 0.3604 x4  6 Ce 2.84-3.08, 1 Pt 3.03
C1 0.0468 0.3251 0.6233 x4  4 Ce 2.36-2.47

## Properties
Distance to the lowest polymorph of the same formula, kcal/mol of atoms: 0.00
Magnetization, μB per formula unit: 0.65
Formation energy, eV/atom: -0.472
Energy, eV for the cell shown: -116.08

---

[4]
The following is a PBE calculation of a relaxed Ce2PtC crystal, from Alexandria.

Cell lengths 3.3436, 3.3436, 25.2977 Å; angles 90.00, 90.00, 120.00 degrees
Last column: nearest neighbours and their distance in Å.
Space group R-3m (No. 166, hexagonal axes)
One atom of each set of equivalent atoms:
Ce1 0.0000 0.0000 0.1074 x6  3 C 2.44, 1 Pt 2.72
Pt1 0.0000 0.0000 0.0000 x3  2 Ce 2.72
C1 0.0000 0.0000 0.5000 x3  6 Ce 2.44

## Properties
Distance to the lowest polymorph of the same formula, kcal/mol of atoms: 8.54
Magnetization, μB per formula unit: 0.54
Formation energy, eV/atom: -0.102
Energy, eV for the cell shown: -82.62

---

Question: Which of these has the highest magnetization?
Answer: Ce2PrTlC